(1)
Below is a geometry-optimized BaMn2W structure, with properties calculated at the GGA-PBE level.

Cell: 6.758 6.758 6.758 Å, 34.71 34.71 34.71°
Fractional coordinates of all 4 atoms:
Ba1 0.000 0.000 0.000
Mn1 0.475 0.475 0.475
Mn2 0.805 0.805 0.805
W1 0.189 0.189 0.189

Calculated values
- Magnetization: 0.010 μB per cell
- Symmetry: R3m
- Offset from the most stable computed form: 99 meV per atom
- Formation energy: 0.6883 eV per atom
- V: 22.32 Å³ per atom
- Crystal system: trigonal
- N(E_F): 1.03 states/eV/atom
- Electronic total energy: -7.62 eV/atom

---

(2)
Below is a geometry-optimized Ba2MnW structure, with properties calculated at the GGA-PBE level.

Cell: 6.131 6.131 3.226 Å, 90.00 90.00 110.41°
Fractional coordinates of all 4 atoms:
Ba1 0.000 0.500 0.000
Ba2 0.500 0.000 0.000
Mn1 0.000 0.000 0.500
W1 0.500 0.500 0.500

Calculated values
- Magnetization: 4.014 μB per cell
- Symmetry: Cmmm
- Offset from the most stable computed form: 686 meV per atom
- Formation energy: 1.4290 eV per atom
- V: 28.41 Å³ per atom
- Crystal system: orthorhombic
- N(E_F): 1.50 states/eV/atom
- Electronic total energy: -5.06 eV/atom

---

(3)
Below is a geometry-optimized Ba2MnW structure, with properties calculated at the GGA-PBE level.

Cell: 3.240 3.240 10.750 Å, 90.00 90.00 90.40°
Fractional coordinates of all 4 atoms:
Ba1 0.000 0.000 0.241
Ba2 0.000 0.000 0.759
Mn1 0.500 0.500 0.500
W1 0.500 0.500 0.000

Calculated values
- Magnetization: 4.279 μB per cell
- Symmetry: Cmmm
- Offset from the most stable computed form: 616 meV per atom
- Formation energy: 1.3591 eV per atom
- V: 28.22 Å³ per atom
- Crystal system: orthorhombic
- N(E_F): 1.07 states/eV/atom
- Electronic total energy: -5.13 eV/atom

---

(4)
Below is a geometry-optimized Ba2Mn2W structure, with properties calculated at the GGA-PBE level.

Cell: 5.142 5.142 5.987 Å, 90.00 90.00 90.00°
Fractional coordinates of all 5 atoms:
Ba1 0.000 0.000 0.000
Ba2 0.000 0.000 0.500
Mn1 0.000 0.500 0.000
Mn2 0.500 0.000 0.000
W1 0.500 0.500 0.500

Calculated values
- Magnetization: 7.317 μB per cell
- Symmetry: P4/mmm
- Formation energy: 2.6210 eV per atom
- V: 31.66 Å³ per atom
- Crystal system: tetragonal
- N(E_F): 1.59 states/eV/atom
- Electronic total energy: -4.41 eV/atom

---

(5)
Below is a geometry-optimized Ba2MnW structure, with properties calculated at the GGA-PBE level.

Cell: 10.056 10.056 10.056 Å, 160.19 158.92 29.09°
Fractional coordinates of all 4 atoms:
Ba1 0.147 0.147 0.000
Ba2 0.853 0.853 0.000
Mn1 0.000 0.500 0.500
W1 0.500 0.000 0.500

Calculated values
- Magnetization: 1.178 μB per cell
- Symmetry: Immm
- Offset from the most stable computed form: 90 meV per atom
- Formation energy: 0.8329 eV per atom
- V: 30.97 Å³ per atom
- Crystal system: orthorhombic
- N(E_F): 1.37 states/eV/atom
- Electronic total energy: -5.66 eV/atom

---

(6)
Below is a geometry-optimized BaMn2W structure, with properties calculated at the GGA-PBE level.

Cell: 4.612 4.612 4.612 Å, 60.00 60.00 60.00°
Fractional coordinates of all 4 atoms:
Ba1 0.000 0.000 0.000
Mn1 0.250 0.250 0.250
Mn2 0.750 0.750 0.750
W1 0.500 0.500 0.500

Calculated values
- Magnetization: 0.000 μB per cell
- Symmetry: Fm-3m
- Offset from the most stable computed form: 882 meV per atom
- Formation energy: 1.4706 eV per atom
- V: 17.34 Å³ per atom
- Crystal system: cubic
- N(E_F): 1.23 states/eV/atom
- Electronic total energy: -6.83 eV/atom

---

(7)
Below is a geometry-optimized BaMn2W structure, with properties calculated at the GGA-PBE level.

Cell: 5.857 5.857 5.857 Å, 146.75 121.37 69.10°
Fractional coordinates of all 4 atoms:
Ba1 0.000 0.000 0.000
Mn1 0.303 0.803 0.500
Mn2 0.697 0.197 0.500
W1 0.500 0.500 0.000

Calculated values
- Magnetization: 5.808 μB per cell
- Symmetry: Immm
- Offset from the most stable computed form: 594 meV per atom
- Formation energy: 1.1828 eV per atom
- V: 23.18 Å³ per atom
- Crystal system: orthorhombic
- N(E_F): 1.26 states/eV/atom
- Electronic total energy: -7.12 eV/atom

---

(8)
Below is a geometry-optimized BaMn2W structure, with properties calculated at the GGA-PBE level.

Cell: 8.773 8.773 8.773 Å, 147.73 147.73 46.29°
Fractional coordinates of all 8 atoms:
Ba1 0.375 0.625 0.750
Ba2 0.625 0.375 0.250
Mn1 0.000 0.000 0.000
Mn2 0.000 0.000 0.500
Mn3 0.000 0.500 0.000
Mn4 0.500 0.000 0.500
W1 0.125 0.875 0.250
W2 0.875 0.125 0.750

Calculated values
- Magnetization: 0.000 μB per cell
- Symmetry: I4_1/amd
- Offset from the most stable computed form: 706 meV per atom
- Formation energy: 1.2949 eV per atom
- V: 23.97 Å³ per atom
- Crystal system: tetragonal
- N(E_F): 1.40 states/eV/atom
- Electronic total energy: -7.01 eV/atom

---

(9)
Below is a geometry-optimized BaMn2W structure, with properties calculated at the GGA-PBE level.

Cell: 3.196 3.253 7.728 Å, 90.00 90.00 90.00°
Fractional coordinates of all 4 atoms:
Ba1 0.000 0.000 0.000
Mn1 0.000 0.000 0.525
Mn2 0.500 0.500 0.647
W1 0.500 0.500 0.358

Calculated values
- Magnetization: 0.468 μB per cell
- Symmetry: Pmm2
- Offset from the most stable computed form: 235 meV per atom
- Formation energy: 0.8245 eV per atom
- V: 20.09 Å³ per atom
- Crystal system: orthorhombic
- N(E_F): 1.01 states/eV/atom
- Electronic total energy: -7.48 eV/atom

---

(10)
Below is a geometry-optimized Ba2MnW structure, with properties calculated at the GGA-PBE level.

Cell: 5.498 5.498 5.498 Å, 60.00 60.00 60.00°
Fractional coordinates of all 4 atoms:
Ba1 0.000 0.000 0.000
Ba2 0.250 0.250 0.250
Mn1 0.750 0.750 0.750
W1 0.500 0.500 0.500

Calculated values
- Magnetization: 1.019 μB per cell
- Symmetry: F-43m
- Offset from the most stable computed form: 594 meV per atom
- Formation energy: 1.3376 eV per atom
- V: 29.38 Å³ per atom
- Crystal system: cubic
- N(E_F): 0.99 states/eV/atom
- Electronic total energy: -5.15 eV/atom